# 1
HoTmCu2Sn2 after structural relaxation, computed with PBE.

Cell lengths 4.5156, 4.5156, 7.1660 Å; angles 90.00, 90.00, 120.00 degrees
Atoms (fractional coordinates):
Ho (0.0000, 0.0000, 0.0000)
Tm (0.0000, 0.0000, 0.4997)
Cu (0.3333, 0.6667, 0.3229)
Cu (0.6667, 0.3333, 0.8183)
Sn (0.3333, 0.6667, 0.7284)
Sn (0.6667, 0.3333, 0.2313)

## Properties
Electronic total energy = -4.674 eV/atom
Symmetry = P3m1, No. 156
Calculated volume = 126.5 Å³ per cell
Magnetic moment = 0.0 μB/cell

# 2
La2NdCd3Ag3 after structural relaxation, computed with PBE.

Cell lengths 4.0977, 8.0508, 8.0508 Å; angles 119.96, 90.00, 90.00 degrees
Atoms (fractional coordinates):
La (0.0000, 0.2040, 0.7960)
La (0.0000, 0.7960, 0.2040)
Nd (0.0000, 0.3900, 0.3900)
Cd (0.5000, 0.0565, 0.0565)
Cd (0.5000, 0.5403, 0.7942)
Cd (0.5000, 0.7942, 0.5403)
Ag (0.0000, 0.7969, 0.7969)
Ag (0.5000, 0.1322, 0.4630)
Ag (0.5000, 0.4630, 0.1322)

## Properties
Electronic total energy = -3.212 eV/atom
Energy of formation = -0.35 eV/atom
Symmetry = Amm2, No. 38
Calculated volume = 230.1 Å³ per cell
Magnetic moment = 0.0 μB/cell

# 3
DyTaPO after structural relaxation, computed with PBE.

Cell lengths 3.9223, 3.9223, 8.7409 Å; angles 90.00, 90.00, 90.00 degrees
Atoms (fractional coordinates):
Dy (0.2500, 0.2500, 0.1261)
Dy (0.7500, 0.7500, 0.8739)
Ta (0.2500, 0.7500, 0.5000)
Ta (0.7500, 0.2500, 0.5000)
P (0.2500, 0.2500, 0.6902)
P (0.7500, 0.7500, 0.3098)
O (0.2500, 0.7500, 0.0000)
O (0.7500, 0.2500, 0.0000)

## Properties
Electronic total energy = -8.638 eV/atom
Excess energy over the best structure of this formula in the dataset = 0.000 eV/atom
Symmetry = P4/nmm, No. 129
Calculated volume = 134.5 Å³ per cell
Magnetic moment = 0.0 μB/cell

# 4
Nd2ErMg4In2 after structural relaxation, computed with PBE.

Cell lengths 4.7395, 7.6177, 7.6177 Å; angles 118.95, 90.00, 90.00 degrees
Atoms (fractional coordinates):
Nd (0.0000, 0.2147, 0.7853)
Nd (0.0000, 0.7853, 0.2147)
Er (0.0000, 0.3493, 0.3493)
Mg (0.0000, 0.7731, 0.7731)
Mg (0.5000, 0.0230, 0.0230)
Mg (0.5000, 0.5383, 0.7820)
Mg (0.5000, 0.7820, 0.5383)
In (0.5000, 0.1224, 0.4487)
In (0.5000, 0.4487, 0.1224)

## Properties
Electronic total energy = -3.156 eV/atom
Symmetry = Amm2, No. 38
Calculated volume = 240.7 Å³ per cell
Magnetic moment = 0.0 μB/cell

# 5
ThPaPd after structural relaxation, computed with PBE.

Cell lengths 4.8903, 4.8903, 4.8903 Å; angles 60.00, 60.00, 60.00 degrees
Atoms (fractional coordinates):
Th (0.0000, 0.0000, 0.0000)
Pa (0.5000, 0.5000, 0.5000)
Pd (0.7500, 0.7500, 0.7500)

## Properties
Electronic total energy = -7.278 eV/atom
Energy of formation = 0.08 eV/atom
Excess energy over the best structure of this formula in the dataset = 0.000 eV/atom
Symmetry = F-43m, No. 216
Calculated volume = 82.7 Å³ per cell
Magnetic moment = 1.1 μB/cell

# 6
KDyB4 after structural relaxation, computed with PBE.

Cell lengths 5.3943, 5.3943, 5.3943 Å; angles 146.05, 113.08, 77.19 degrees
Atoms (fractional coordinates):
K (0.0000, 0.0000, 0.0000)
Dy (0.5000, 0.5000, 0.0000)
B (0.0665, 0.7590, 0.3076)
B (0.4514, 0.7590, 0.6924)
B (0.5486, 0.2410, 0.3076)
B (0.9335, 0.2410, 0.6924)

## Properties
Electronic total energy = -5.207 eV/atom
Excess energy over the best structure of this formula in the dataset = 0.174 eV/atom
Symmetry = Immm, No. 71
Calculated volume = 79.0 Å³ per cell
Magnetic moment = 0.0 μB/cell